# LiSm12Ru6

An optimized crystal structure of LiSm12Ru6 (PBE-GGA, the Alexandria database).

Unit cell a=8.334 b=8.334 c=8.334 alpha=101.41 beta=101.41 gamma=101.41
Positions (direct):
Li  0.000  0.000  0.000
Sm  0.073  0.665  0.919
Sm  0.081  0.927  0.335
Sm  0.177  0.412  0.554
Sm  0.335  0.081  0.927
Sm  0.412  0.554  0.177
Sm  0.446  0.823  0.588
Sm  0.554  0.177  0.412
Sm  0.588  0.446  0.823
Sm  0.665  0.919  0.073
Sm  0.823  0.588  0.446
Sm  0.919  0.073  0.665
Sm  0.927  0.335  0.081
Ru  0.138  0.610  0.304
Ru  0.304  0.138  0.610
Ru  0.390  0.696  0.862
Ru  0.610  0.304  0.138
Ru  0.696  0.862  0.390
Ru  0.862  0.390  0.696

Output
* DOS at the Fermi energy: 0.64 states/eV/atom
* spin magnetization: 0.00 μB/cell
* calculated density: 7.449 g/cm3
* energy of formation from the pure elements: -0.036 eV/atom
* raw total energy: -6.0460 eV/atom

***

# LiSm5Ru4

An optimized crystal structure of LiSm5Ru4 (PBE-GGA, the Alexandria database).

Unit cell a=3.473 b=3.473 c=18.605 alpha=90.00 beta=90.00 gamma=90.00
Positions (direct):
Li  0.000  0.000  0.000
Sm  0.500  0.500  0.129
Sm  0.500  0.500  0.314
Sm  0.500  0.500  0.500
Sm  0.500  0.500  0.686
Sm  0.500  0.500  0.871
Ru  0.000  0.000  0.214
Ru  0.000  0.000  0.406
Ru  0.000  0.000  0.594
Ru  0.000  0.000  0.786

Output
* DOS at the Fermi energy: 0.65 states/eV/atom
* spin magnetization: 0.00 μB/cell
* calculated density: 8.606 g/cm3
* energy of formation from the pure elements: -0.173 eV/atom
* raw total energy: -6.4348 eV/atom